Entry 1:
{"formula": "Dy2Ga5Au3", "functional": "PBE", "state": "optimized geometry", "density_g_cm3": 10.58, "ef_ev_per_atom": -0.577, "magmom_total_mub_per_atom": 0.000, "vol_a3_per_atom": 19.84, "lattice_angstrom": [[-5.5102, 5.9534, 3.0238], [5.5102, -5.9534, 3.0238], [5.5102, 5.9534, -3.0238]], "species": ["Dy", "Dy", "Dy", "Dy", "Ga", "Ga", "Ga", "Ga", "Ga", "Ga", "Ga", "Ga", "Ga", "Ga", "Au", "Au", "Au", "Au", "Au", "Au"], "fractional_positions": [[0.1242, 0.2460, 0.3702], [0.3758, 0.7460, 0.1219], [0.6242, 0.2540, 0.8781], [0.8758, 0.7540, 0.6298], [0.0078, 0.7500, 0.2578], [0.1209, 0.6423, 0.7632], [0.2500, 0.2500, 0.0000], [0.3791, 0.1423, 0.5214], [0.4922, 0.7500, 0.7422], [0.5078, 0.2500, 0.2578], [0.6209, 0.8577, 0.4786], [0.7500, 0.7500, 0.0000], [0.8791, 0.3577, 0.2368], [0.9922, 0.2500, 0.7422], [0.1303, 0.8663, 0.9966], [0.2500, 0.7500, 0.5000], [0.3697, 0.3663, 0.7360], [0.6303, 0.6337, 0.2640], [0.7500, 0.2500, 0.5000], [0.8697, 0.1337, 0.0034]]}

---

Entry 2:
{"formula": "DyGaAu4", "functional": "PBE", "state": "optimized geometry", "density_g_cm3": 13.83, "ef_ev_per_atom": -0.368, "magmom_total_mub_per_atom": 0.000, "vol_a3_per_atom": 20.42, "lattice_angstrom": [[0.0000, 3.9420, 3.9420], [3.9420, 0.0000, 3.9420], [3.9420, 3.9420, 0.0000]], "species": ["Dy", "Ga", "Au", "Au", "Au", "Au"], "fractional_positions": [[0.0000, 0.0000, 0.0000], [0.2500, 0.2500, 0.2500], [0.1254, 0.6249, 0.6249], [0.6249, 0.1254, 0.6249], [0.6249, 0.6249, 0.1254], [0.6249, 0.6249, 0.6249]]}

---

Entry 3:
{"formula": "DyGa3Au3", "functional": "PBE", "state": "optimized geometry", "density_g_cm3": 10.28, "ef_ev_per_atom": -0.392, "magmom_total_mub_per_atom": 0.000, "vol_a3_per_atom": 22.22, "lattice_angstrom": [[4.0430, 2.3342, 5.4941], [-4.0430, 2.3342, 5.4941], [0.0000, -4.6684, 5.4941]], "species": ["Dy", "Dy", "Ga", "Ga", "Ga", "Ga", "Ga", "Ga", "Au", "Au", "Au", "Au", "Au", "Au"], "fractional_positions": [[0.1655, 0.1655, 0.1655], [0.8345, 0.8345, 0.8345], [0.1040, 0.7199, 0.4116], [0.2801, 0.5884, 0.8960], [0.4116, 0.1040, 0.7199], [0.5884, 0.8960, 0.2801], [0.7199, 0.4116, 0.1040], [0.8960, 0.2801, 0.5884], [0.0681, 0.4125, 0.7562], [0.2439, 0.9319, 0.5875], [0.4125, 0.7562, 0.0681], [0.5875, 0.2438, 0.9319], [0.7562, 0.0681, 0.4125], [0.9319, 0.5875, 0.2439]]}

---

Entry 4:
{"formula": "DyGa2Au", "functional": "PBE", "state": "optimized geometry", "density_g_cm3": 10.55, "ef_ev_per_atom": -0.454, "magmom_total_mub_per_atom": 0.000, "vol_a3_per_atom": 19.62, "lattice_angstrom": [[0.0000, 3.3984, 3.3984], [3.3984, 0.0000, 3.3984], [3.3984, 3.3984, 0.0000]], "species": ["Dy", "Ga", "Ga", "Au"], "fractional_positions": [[0.0000, 0.0000, 0.0000], [0.2500, 0.2500, 0.2500], [0.7500, 0.7500, 0.7500], [0.5000, 0.5000, 0.5000]]}

---

Entry 5:
{"formula": "DyGa3Au3", "functional": "PBE", "state": "optimized geometry", "density_g_cm3": 11.71, "ef_ev_per_atom": -0.401, "magmom_total_mub_per_atom": 0.000, "vol_a3_per_atom": 19.50, "lattice_angstrom": [[8.1732, 0.0000, 0.0000], [0.0000, 8.1729, 0.0000], [-0.0271, 0.0000, 8.1735]], "species": ["Dy", "Dy", "Dy", "Dy", "Ga", "Ga", "Ga", "Ga", "Ga", "Ga", "Ga", "Ga", "Ga", "Ga", "Ga", "Ga", "Au", "Au", "Au", "Au", "Au", "Au", "Au", "Au", "Au", "Au", "Au", "Au"], "fractional_positions": [[0.0449, 0.0000, 0.2049], [0.4545, 0.9097, 0.7048], [0.5455, 0.4097, 0.2952], [0.9551, 0.5000, 0.7951], [0.1346, 0.8206, 0.8845], [0.1690, 0.2865, 0.5812], [0.1910, 0.6470, 0.4417], [0.3087, 0.2645, 0.9409], [0.3315, 0.6238, 0.0815], [0.3655, 0.0897, 0.3846], [0.6345, 0.5897, 0.6154], [0.6685, 0.1238, 0.9185], [0.6913, 0.7645, 0.0591], [0.8090, 0.1470, 0.5583], [0.8310, 0.7865, 0.4188], [0.8654, 0.3206, 0.1155], [0.0089, 0.1437, 0.8608], [0.1101, 0.9464, 0.5617], [0.1887, 0.3442, 0.2404], [0.3115, 0.5657, 0.7410], [0.3888, 0.9650, 0.0611], [0.4901, 0.7665, 0.3608], [0.5099, 0.2665, 0.6392], [0.6112, 0.4650, 0.9389], [0.6885, 0.0657, 0.2590], [0.8113, 0.8442, 0.7596], [0.8899, 0.4464, 0.4383], [0.9911, 0.6437, 0.1392]]}

---

Entry 6:
{"formula": "Dy4Ga5Au2", "functional": "PBE", "state": "optimized geometry", "density_g_cm3": 9.35, "ef_ev_per_atom": -0.608, "magmom_total_mub_per_atom": 0.000, "vol_a3_per_atom": 22.49, "lattice_angstrom": [[7.6843, 0.0000, 0.0000], [0.0000, 3.5647, 0.0000], [-0.4308, 0.0000, 9.0298]], "species": ["Dy", "Dy", "Dy", "Dy", "Ga", "Ga", "Ga", "Ga", "Ga", "Au", "Au"], "fractional_positions": [[0.2330, 0.0000, 0.1360], [0.2459, 0.0000, 0.6271], [0.7541, 0.0000, 0.3729], [0.7670, 0.0000, 0.8640], [0.1100, 0.5000, 0.8846], [0.4315, 0.5000, 0.3648], [0.5000, 0.5000, 0.0000], [0.5685, 0.5000, 0.6352], [0.8900, 0.5000, 0.1154], [0.0858, 0.5000, 0.3687], [0.9142, 0.5000, 0.6313]]}

---

Entry 7:
{"formula": "Dy3GaAu2", "functional": "PBE", "state": "optimized geometry", "density_g_cm3": 11.35, "ef_ev_per_atom": -0.770, "magmom_total_mub_per_atom": 0.000, "vol_a3_per_atom": 23.19, "lattice_angstrom": [[3.5704, 0.0000, 0.0000], [0.0000, 3.5704, 0.0000], [0.0000, 0.0000, 10.9133]], "species": ["Dy", "Dy", "Dy", "Ga", "Au", "Au"], "fractional_positions": [[0.0000, 0.0000, 0.0000], [0.0000, 0.0000, 0.3339], [0.0000, 0.0000, 0.6661], [0.5000, 0.5000, 0.5000], [0.5000, 0.5000, 0.1702], [0.5000, 0.5000, 0.8298]]}

---

Entry 8:
{"formula": "Dy3Ga2Au6", "functional": "PBE", "state": "optimized geometry", "density_g_cm3": 12.59, "ef_ev_per_atom": -0.543, "magmom_total_mub_per_atom": 0.000, "vol_a3_per_atom": 21.69, "lattice_angstrom": [[-1.9912, 1.9912, 15.0403], [1.9912, -1.9912, 15.0403], [1.9912, 1.9912, -15.0403]], "species": ["Dy", "Dy", "Dy", "Ga", "Ga", "Au", "Au", "Au", "Au", "Au", "Au"], "fractional_positions": [[0.0000, 0.0000, 0.0000], [0.1771, 0.1771, 0.0000], [0.8229, 0.8229, 0.0000], [0.3646, 0.3646, 0.0000], [0.6354, 0.6354, 0.0000], [0.0761, 0.5761, 0.5000], [0.2759, 0.2759, 0.0000], [0.4239, 0.9239, 0.5000], [0.5761, 0.0761, 0.5000], [0.7241, 0.7241, 0.0000], [0.9239, 0.4239, 0.5000]]}